! Co3AgTe, relaxed, DFT PBE-GGA; values from VASP
! Raw formation energy: 1.4526 eV per atom
! ΔE to the lowest computed polymorph: 357 meV/atom
! D(E_F): 3.14 states/eV per atom
! Symmetry: No. 221
! Calculated density: 6.7 g/cm3
&SYSTEM
  ibrav = 0, nat = 5, ntyp = 3
/
ATOMIC_SPECIES
Co 58.93 Co.upf
Ag 107.87 Ag.upf
Te 127.60 Te.upf
ATOMIC_POSITIONS angstrom
Co 0.000 2.335 0.000
Co 0.000 0.000 2.335
Co 2.335 0.000 0.000
Ag 0.000 0.000 0.000
Te 2.335 2.335 2.335
CELL_PARAMETERS angstrom
4.670 0.000 0.000
0.000 4.670 0.000
0.000 0.000 4.670

***

! CoAgTe2, relaxed, DFT PBE-GGA; values from VASP
! Raw formation energy: 0.4435 eV per atom
! D(E_F): 0.87 states/eV per atom
! Symmetry: No. 225
! Calculated density: 8.6 g/cm3
&SYSTEM
  ibrav = 0, nat = 4, ntyp = 3
/
ATOMIC_SPECIES
Te 127.60 Te.upf
Co 58.93 Co.upf
Ag 107.87 Ag.upf
ATOMIC_POSITIONS angstrom
Te 5.170 5.170 5.170
Te 1.723 1.723 1.723
Co 0.000 0.000 0.000
Ag 3.446 3.446 3.446
CELL_PARAMETERS angstrom
0.000 3.446 3.446
3.446 0.000 3.446
3.446 3.446 0.000

***

! V2CoAg2Te6, relaxed, DFT PBE-GGA; values from VASP
! Raw formation energy: -0.1491 eV per atom
! D(E_F): 0.37 states/eV per atom
! Symmetry: No. 12
! Calculated density: 6.2 g/cm3
&SYSTEM
  ibrav = 0, nat = 11, ntyp = 4
/
ATOMIC_SPECIES
Te 127.60 Te.upf
Co 58.93 Co.upf
Ag 107.87 Ag.upf
V 50.94 V.upf
ATOMIC_POSITIONS angstrom
Te -1.462 4.950 6.478
Te 1.877 3.226 6.850
Te 4.357 0.026 3.248
Te 1.018 1.749 2.875
Te 5.026 1.176 6.478
Te -2.131 3.800 3.248
Co -0.178 -0.305 4.081
Ag -1.916 4.853 0.781
Ag 5.166 0.733 0.781
V 2.791 1.706 4.863
V 0.103 3.270 4.863
CELL_PARAMETERS angstrom
6.498 -0.042 0.781
-3.248 5.628 0.781
-0.355 -0.611 8.163

***

! Th4CoAg, relaxed, DFT PBE-GGA; values from VASP
! E_form: -0.14 eV/atom
! D(E_F): 1.24 states/eV per atom
! Symmetry: No. 124
! Calculated density: 11.5 g/cm3
&SYSTEM
  ibrav = 0, nat = 12, ntyp = 3
/
ATOMIC_SPECIES
Th 232.04 Th.upf
Ag 107.87 Ag.upf
Co 58.93 Co.upf
ATOMIC_POSITIONS angstrom
Th 0.000 5.991 2.577
Th 2.957 1.315 2.577
Th 2.957 4.729 1.315
Th 0.000 4.729 5.991
Th 0.000 2.577 1.315
Th 2.957 2.577 5.991
Th 0.000 1.315 4.729
Th 2.957 5.991 4.729
Ag 4.436 0.000 0.000
Ag 1.479 0.000 0.000
Co 1.479 3.653 3.653
Co 4.436 3.653 3.653
CELL_PARAMETERS angstrom
5.914 0.000 0.000
0.000 7.306 0.000
0.000 0.000 7.306